6
Lattice="-3.131 -1.395 1.287 1.493 -0.278 3.332 -1.652 7.953 -0.609" Properties=species:S:1:pos:R:3 comment="PuPdO, optimized geometry, DFT PBE" final_energy_ev_per_cell=-57.30 pbc="T T T"
Pu -0.464 1.337 0.320
Pu -2.826 4.943 3.690
O 0.746 -0.139 1.666
O -1.566 -0.697 0.643
Pd -1.891 2.249 3.047
Pd -1.399 4.031 0.963



7
Lattice="-1.330 2.684 -2.604 -3.672 1.115 5.986 4.287 4.049 1.988" Properties=species:S:1:pos:R:3 comment="Tm2Th2Ru3, optimized geometry, DFT PBE" formation_enthalpy_0k_ev_per_atom=-0.361 pbc="T T T"
Tm -1.341 5.812 3.629
Tm 0.626 2.037 1.741
Th 1.870 5.596 1.769
Th -2.585 2.252 3.601
Ru 0.000 0.000 0.000
Ru -1.395 3.838 1.609
Ru 0.680 4.011 3.761



4
Lattice="0.000 3.185 3.185 3.185 0.000 3.185 3.185 3.185 0.000" Properties=species:S:1:pos:R:3 comment="LiScMn2, optimized geometry, DFT PBE" formation_enthalpy_0k_ev_per_atom=0.381 relative_energy_mev_per_atom=219 pbc="T T T"
Sc 3.185 3.185 3.185
Mn 1.593 1.593 1.593
Mn 4.778 4.778 4.778
Li 0.000 0.000 0.000



4
Lattice="7.878 -0.011 -0.006 7.293 2.979 -0.006 7.293 1.427 2.615" Properties=species:S:1:pos:R:3 comment="AlSi2W, optimized geometry, DFT PBE" final_energy_ev_per_cell=-26.92 pbc="T T T"
Si 22.403 4.383 2.595
Si 11.294 2.210 1.308
Al 16.848 3.296 1.952
W 5.616 1.099 0.651



6
Lattice="5.365 0.000 0.000 2.683 4.647 0.000 2.683 1.549 4.381" Properties=species:S:1:pos:R:3 comment="TbPuIr4, optimized geometry, DFT PBE" formation_enthalpy_0k_ev_per_atom=-0.670 pbc="T T T"
Ir 5.365 3.098 0.547
Ir 5.365 1.548 2.738
Ir 6.707 3.872 2.738
Ir 4.023 3.872 2.738
Tb 2.683 1.549 1.095
Pu 0.000 0.000 0.000